Model i:
First-principles (meta-GGA SCAN) data for TcRhSe2 at its PBEsol-relaxed geometry, as listed in Alexandria.

Calculated values
V ... 63.3 Å³/cell

a b c (Å): 2.984 2.983 8.209
angles (deg): 90.00 90.00 120.01
Positions (direct):
Rh (0.500, 0.000, 0.000)
Se (0.000, 0.000, 0.746)
Se (0.000, 0.000, 0.254)
Tc (0.500, 0.000, 0.500)



Model ii:
First-principles (meta-GGA SCAN) data for TcRhSe2 at its PBEsol-relaxed geometry, as listed in Alexandria.

Calculated values
V ... 68.8 Å³/cell

a b c (Å): 3.008 3.008 7.598
angles (deg): 90.00 90.00 90.00
Positions (direct):
Rh (0.500, 0.500, 0.754)
Se (0.000, 0.000, 0.923)
Se (0.500, 0.500, 0.325)
Tc (0.000, 0.000, 0.498)



It comes down to model ii, which is 0.674 eV/atom more stable than the next structure.



Model i:
First-principles (meta-GGA SCAN) data for ZnRhSe at its PBEsol-relaxed geometry, as listed in Alexandria.

Calculated values
V ... 50.7 Å³/cell

a b c (Å): 4.155 4.155 4.155
angles (deg): 60.00 60.00 60.00
Positions (direct):
Rh (0.000, 0.000, 0.000)
Se (0.500, 0.500, 0.500)
Zn (0.250, 0.250, 0.250)



Model ii:
First-principles (meta-GGA SCAN) data for ZnRhSe at its PBEsol-relaxed geometry, as listed in Alexandria.

Calculated values
V ... 47.0 Å³/cell

a b c (Å): 2.963 2.963 5.747
angles (deg): 104.94 104.94 90.00
Positions (direct):
Rh (0.997, 0.997, 0.994)
Se (0.355, 0.355, 0.710)
Zn (0.648, 0.648, 0.295)



It comes down to model ii, which is 0.234 eV/atom more stable than the next structure.



Model i:
First-principles (meta-GGA SCAN) data for Si2RhW at its PBEsol-relaxed geometry, as listed in Alexandria.

Calculated values
V ... 54.3 Å³/cell

a b c (Å): 2.772 4.364 4.493
angles (deg): 90.00 90.00 90.00
Positions (direct):
Rh (0.500, 0.744, 0.500)
Si (0.500, 0.019, 0.000)
Si (0.000, 0.222, 0.500)
W (0.000, 0.515, 0.000)



Model ii:
First-principles (meta-GGA SCAN) data for Si2RhW at its PBEsol-relaxed geometry, as listed in Alexandria.

Calculated values
V ... 53.6 Å³/cell

a b c (Å): 2.792 4.417 4.753
angles (deg): 106.27 107.08 90.00
Positions (direct):
Rh (0.257, 0.827, 0.515)
Si (0.002, 0.937, 0.004)
Si (0.746, 0.307, 0.492)
W (0.495, 0.429, 0.989)



It comes down to model ii, which is 0.095 eV/atom more stable than the next structure.



Model i:
First-principles (meta-GGA SCAN) data for SrRh2W at its PBEsol-relaxed geometry, as listed in Alexandria.

Calculated values
V ... 68.5 Å³/cell

a b c (Å): 2.850 4.901 4.901
angles (deg): 90.33 90.00 90.00
Positions (direct):
Rh (0.000, 0.500, 0.000)
Rh (0.000, 0.000, 0.500)
Sr (0.500, 0.000, 0.000)
W (0.500, 0.500, 0.500)



Model ii:
First-principles (meta-GGA SCAN) data for SrRh2W at its PBEsol-relaxed geometry, as listed in Alexandria.

Calculated values
V ... 76.0 Å³/cell

a b c (Å): 2.868 3.982 7.146
angles (deg): 93.41 90.00 111.11
Positions (direct):
Rh (0.753, 0.507, 0.806)
Rh (0.247, 0.493, 0.194)
Sr (0.000, 0.000, 0.500)
W (0.500, 0.000, 0.000)



It comes down to model ii, which is 0.167 eV/atom more stable than the next structure.



Model i:
First-principles (meta-GGA SCAN) data for SrRhW2 at its PBEsol-relaxed geometry, as listed in Alexandria.

Calculated values
V ... 76.8 Å³/cell

a b c (Å): 3.191 3.191 7.538
angles (deg): 90.00 90.00 90.00
Positions (direct):
Rh (0.000, 0.000, 0.447)
Sr (0.500, 0.500, 0.741)
W (0.000, 0.000, 0.067)
W (0.500, 0.500, 0.245)



Model ii:
First-principles (meta-GGA SCAN) data for SrRhW2 at its PBEsol-relaxed geometry, as listed in Alexandria.

Calculated values
V ... 70.9 Å³/cell

a b c (Å): 2.834 2.834 10.316
angles (deg): 82.10 82.10 60.00
Positions (direct):
Rh (0.500, 0.500, 0.500)
Sr (0.000, 0.000, 0.000)
W (0.238, 0.238, 0.287)
W (0.762, 0.762, 0.713)



Model iii:
First-principles (meta-GGA SCAN) data for SrRhW2 at its PBEsol-relaxed geometry, as listed in Alexandria.

Calculated values
V ... 71.9 Å³/cell

a b c (Å): 2.765 2.765 9.397
angles (deg): 90.00 90.00 90.00
Positions (direct):
Rh (0.500, 0.500, 0.000)
Sr (0.500, 0.500, 0.500)
W (0.000, 0.000, 0.797)
W (0.000, 0.000, 0.203)



It comes down to model i, which is 0.276 eV/atom more stable than the next structure.



Model i:
First-principles (meta-GGA SCAN) data for Ta4Rh3 at its PBEsol-relaxed geometry, as listed in Alexandria.

Calculated values
V ... 111.1 Å³/cell

a b c (Å): 4.928 5.103 5.103
angles (deg): 120.00 90.00 90.00
Positions (direct):
Rh (0.000, 0.000, 0.500)
Rh (0.000, 0.500, 0.000)
Rh (0.000, 0.500, 0.500)
Ta (0.748, 0.000, 0.000)
Ta (0.252, 0.000, 0.000)
Ta (0.500, 0.333, 0.667)
Ta (0.500, 0.667, 0.333)



Model ii:
First-principles (meta-GGA SCAN) data for Ta4Rh3 at its PBEsol-relaxed geometry, as listed in Alexandria.

Calculated values
V ... 112.0 Å³/cell

a b c (Å): 3.225 3.225 11.009
angles (deg): 98.42 98.42 90.00
Positions (direct):
Rh (0.000, 0.000, 0.000)
Rh (0.289, 0.289, 0.579)
Rh (0.711, 0.711, 0.421)
Ta (0.153, 0.153, 0.305)
Ta (0.428, 0.428, 0.857)
Ta (0.572, 0.572, 0.143)
Ta (0.847, 0.847, 0.695)



It comes down to model i, which is 0.041 eV/atom more stable than the next structure.



Model i:
First-principles (meta-GGA SCAN) data for Ta2TcRh at its PBEsol-relaxed geometry, as listed in Alexandria.

Calculated values
V ... 62.5 Å³/cell

a b c (Å): 3.185 3.185 6.159
angles (deg): 90.00 90.00 90.00
Positions (direct):
Rh (0.500, 0.500, 0.500)
Ta (0.000, 0.000, 0.754)
Ta (0.000, 0.000, 0.246)
Tc (0.500, 0.500, 0.000)



Model ii:
First-principles (meta-GGA SCAN) data for Ta2TcRh at its PBEsol-relaxed geometry, as listed in Alexandria.

Calculated values
V ... 62.7 Å³/cell

a b c (Å): 3.323 4.571 5.003
angles (deg): 117.18 109.40 90.00
Positions (direct):
Rh (0.500, 0.000, 0.000)
Ta (0.747, 0.747, 0.493)
Ta (0.253, 0.253, 0.507)
Tc (0.000, 0.500, 0.000)



It comes down to model i, which is 0.201 eV/atom more stable than the next structure.



Model i:
First-principles (meta-GGA SCAN) data for TaTcRh at its PBEsol-relaxed geometry, as listed in Alexandria.

Calculated values
V ... 45.1 Å³/cell

a b c (Å): 2.754 2.754 6.863
angles (deg): 90.00 90.00 120.00
Positions (direct):
Rh (0.000, 0.000, 0.006)
Ta (0.333, 0.667, 0.673)
Tc (0.667, 0.333, 0.321)



Model ii:
First-principles (meta-GGA SCAN) data for TaTcRh at its PBEsol-relaxed geometry, as listed in Alexandria.

Calculated values
V ... 45.3 Å³/cell

a b c (Å): 2.699 4.401 4.401
angles (deg): 120.00 90.00 90.00
Positions (direct):
Rh (0.833, 0.000, 0.000)
Ta (0.833, 0.333, 0.667)
Tc (0.333, 0.667, 0.333)



It comes down to model ii, which is 0.090 eV/atom more stable than the next structure.